# La5Sm4Dy4

An optimized crystal structure of La5Sm4Dy4 (PBE-GGA, the Alexandria database).

a b c (Å): 9.6625 9.6625 9.6625
angles (deg): 94.08 94.08 149.05
Last column: nearest neighbours and their distance in Å.
Fractional positions:
La (0.0000, 0.0000, 0.0000)  8 La 3.67, 4 Sm 3.70
La (0.3050, 0.4627, 0.7677)  5 Sm 3.60-3.69, 3 Dy 3.62-3.65, 4 La 3.67-3.70
La (0.4627, 0.6950, 0.1577)  5 Sm 3.60-3.69, 3 Dy 3.62-3.65, 4 La 3.67-3.70
La (0.5373, 0.3050, 0.8423)  5 Sm 3.60-3.69, 3 Dy 3.62-3.65, 4 La 3.67-3.70
La (0.6950, 0.5373, 0.2323)  5 Sm 3.60-3.69, 3 Dy 3.62-3.65, 4 La 3.67-3.70
Sm (0.1554, 0.2339, 0.3892)  6 La 3.60-3.70, 2 Sm 3.61, 4 Dy 3.64-3.70
Sm (0.2339, 0.8446, 0.0785)  6 La 3.60-3.70, 2 Sm 3.61, 4 Dy 3.64-3.70
Sm (0.7661, 0.1554, 0.9215)  6 La 3.60-3.70, 2 Sm 3.61, 4 Dy 3.64-3.70
Sm (0.8446, 0.7661, 0.6108)  6 La 3.60-3.70, 2 Sm 3.61, 4 Dy 3.64-3.70
Dy (0.0747, 0.6128, 0.6875)  5 Dy 3.56-3.61, 3 La 3.62-3.65, 4 Sm 3.64-3.70
Dy (0.3872, 0.0747, 0.4618)  5 Dy 3.56-3.61, 3 La 3.62-3.65, 4 Sm 3.64-3.70
Dy (0.6128, 0.9253, 0.5382)  5 Dy 3.56-3.61, 3 La 3.62-3.65, 4 Sm 3.64-3.70
Dy (0.9253, 0.3872, 0.3125)  5 Dy 3.56-3.61, 3 La 3.62-3.65, 4 Sm 3.64-3.70

Computed properties:
- V: 34.396 Å³/atom
- Total energy: -61.6 eV per cell